Record 1
# PBE-GGA NaVBRh2, relaxed
# DFT formation energy: 0.88 eV/f.u.
# SG: No. 123
# DOS at the Fermi energy: 6.72 states/eV per cell
data_NaVBRh2
_symmetry_space_group_name_H-M 'P 1'
_symmetry_Int_Tables_number 1
_symmetry_space_group_name_Hall 'P 1'
_cell_length_a 4.149
_cell_length_b 4.147
_cell_length_c 4.149
_cell_angle_alpha 90.00
_cell_angle_beta 90.00
_cell_angle_gamma 90.00
loop_
_atom_site_label
_atom_site_fract_x
_atom_site_fract_y
_atom_site_fract_z
Na1 0.500 0.500 0.500
B1 0.000 0.000 0.000
Rh1 0.000 0.000 0.500
Rh2 0.500 0.000 0.000
V1 0.000 0.500 0.000

---

Record 2
# PBE-GGA Na2BRhW, relaxed
# DFT formation energy: 6.80 eV/f.u.
# SG: No. 123
# DOS at the Fermi energy: 2.69 states/eV per cell
data_Na2BRhW
_symmetry_space_group_name_H-M 'P 1'
_symmetry_Int_Tables_number 1
_symmetry_space_group_name_Hall 'P 1'
_cell_length_a 4.763
_cell_length_b 4.001
_cell_length_c 4.763
_cell_angle_alpha 90.00
_cell_angle_beta 90.00
_cell_angle_gamma 90.00
loop_
_atom_site_label
_atom_site_fract_x
_atom_site_fract_y
_atom_site_fract_z
Na1 0.000 0.000 0.500
Na2 0.500 0.000 0.000
B1 0.000 0.000 0.000
Rh1 0.000 0.500 0.000
W1 0.500 0.500 0.500

---

Record 3
# PBE-GGA NaB2Ru, relaxed
# DFT formation energy: 3.86 eV/f.u.
# SG: No. 225
# DOS at the Fermi energy: 2.39 states/eV per cell
# offset from the most stable computed form: 452 meV/atom
data_NaB2Ru
_symmetry_space_group_name_H-M 'P 1'
_symmetry_Int_Tables_number 1
_symmetry_space_group_name_Hall 'P 1'
_cell_length_a 3.911
_cell_length_b 3.911
_cell_length_c 3.911
_cell_angle_alpha 60.00
_cell_angle_beta 60.00
_cell_angle_gamma 60.00
loop_
_atom_site_label
_atom_site_fract_x
_atom_site_fract_y
_atom_site_fract_z
Ru1 0.500 0.500 0.500
B1 0.250 0.250 0.250
B2 0.750 0.750 0.750
Na1 0.000 0.000 0.000

---

Record 4
# PBE-GGA NaB4Ru4, relaxed
# DFT formation energy: -1.53 eV/f.u.
# SG: No. 86
# DOS at the Fermi energy: 12.37 states/eV per cell
data_NaB4Ru4
_symmetry_space_group_name_H-M 'P 1'
_symmetry_Int_Tables_number 1
_symmetry_space_group_name_Hall 'P 1'
_cell_length_a 4.164
_cell_length_b 7.291
_cell_length_c 7.291
_cell_angle_alpha 90.00
_cell_angle_beta 90.00
_cell_angle_gamma 90.00
loop_
_atom_site_label
_atom_site_fract_x
_atom_site_fract_y
_atom_site_fract_z
Na1 0.000 0.000 0.000
Na2 0.500 0.500 0.500
B1 0.619 0.823 0.316
B2 0.619 0.177 0.684
B3 0.119 0.816 0.677
B4 0.881 0.323 0.816
B5 0.881 0.677 0.184
B6 0.381 0.316 0.177
B7 0.381 0.684 0.823
B8 0.119 0.184 0.323
Ru1 0.382 0.364 0.879
Ru2 0.882 0.621 0.864
Ru3 0.382 0.636 0.121
Ru4 0.118 0.136 0.621
Ru5 0.618 0.879 0.636
Ru6 0.118 0.864 0.379
Ru7 0.882 0.379 0.136
Ru8 0.618 0.121 0.364

---

Record 5
# PBE-GGA Na2BRu2, relaxed
# DFT formation energy: 1.49 eV/f.u.
# SG: No. 127
# DOS at the Fermi energy: 4.81 states/eV per cell
data_Na2BRu2
_symmetry_space_group_name_H-M 'P 1'
_symmetry_Int_Tables_number 1
_symmetry_space_group_name_Hall 'P 1'
_cell_length_a 5.573
_cell_length_b 5.573
_cell_length_c 5.172
_cell_angle_alpha 90.00
_cell_angle_beta 90.00
_cell_angle_gamma 90.00
loop_
_atom_site_label
_atom_site_fract_x
_atom_site_fract_y
_atom_site_fract_z
Ru1 0.346 0.846 0.000
Ru2 0.846 0.654 0.000
Ru3 0.654 0.154 0.000
Ru4 0.154 0.346 0.000
B1 0.000 0.000 0.000
B2 0.500 0.500 0.000
Na1 0.177 0.677 0.500
Na2 0.677 0.823 0.500
Na3 0.823 0.323 0.500
Na4 0.323 0.177 0.500

---

Record 6
# PBE-GGA NaB2Ru, relaxed
# DFT formation energy: 2.05 eV/f.u.
# SG: No. 141
# DOS at the Fermi energy: 3.06 states/eV per cell
# offset from the most stable computed form: 0 meV/atom
data_NaB2Ru
_symmetry_space_group_name_H-M 'P 1'
_symmetry_Int_Tables_number 1
_symmetry_space_group_name_Hall 'P 1'
_cell_length_a 4.792
_cell_length_b 4.792
_cell_length_c 7.088
_cell_angle_alpha 70.24
_cell_angle_beta 70.24
_cell_angle_gamma 90.00
loop_
_atom_site_label
_atom_site_fract_x
_atom_site_fract_y
_atom_site_fract_z
Ru1 0.000 0.000 0.000
Ru2 0.750 0.250 0.500
B1 0.875 0.125 0.250
B2 0.875 0.625 0.250
B3 0.375 0.125 0.750
B4 0.875 0.125 0.750
Na1 0.500 0.500 0.000
Na2 0.250 0.750 0.500

---

Record 7
# PBE-GGA NaB2Ru2, relaxed
# DFT formation energy: 1.46 eV/f.u.
# SG: No. 139
# DOS at the Fermi energy: 2.58 states/eV per cell
data_NaB2Ru2
_symmetry_space_group_name_H-M 'P 1'
_symmetry_Int_Tables_number 1
_symmetry_space_group_name_Hall 'P 1'
_cell_length_a 3.848
_cell_length_b 3.848
_cell_length_c 5.151
_cell_angle_alpha 68.06
_cell_angle_beta 68.06
_cell_angle_gamma 90.00
loop_
_atom_site_label
_atom_site_fract_x
_atom_site_fract_y
_atom_site_fract_z
Ru1 0.356 0.356 0.289
Ru2 0.644 0.644 0.711
B1 0.750 0.250 0.500
B2 0.250 0.750 0.500
Na1 0.000 0.000 0.000

---

Record 8
# PBE-GGA NaBRu3, relaxed
# DFT formation energy: 2.46 eV/f.u.
# SG: No. 221
# DOS at the Fermi energy: 5.68 states/eV per cell
data_NaBRu3
_symmetry_space_group_name_H-M 'P 1'
_symmetry_Int_Tables_number 1
_symmetry_space_group_name_Hall 'P 1'
_cell_length_a 4.153
_cell_length_b 4.153
_cell_length_c 4.153
_cell_angle_alpha 90.00
_cell_angle_beta 90.00
_cell_angle_gamma 90.00
loop_
_atom_site_label
_atom_site_fract_x
_atom_site_fract_y
_atom_site_fract_z
Ru1 0.000 0.500 0.000
Ru2 0.000 0.000 0.500
Ru3 0.500 0.000 0.000
B1 0.000 0.000 0.000
Na1 0.500 0.500 0.500

---

Record 9
# PBE-GGA NaBRu2, relaxed
# DFT formation energy: 3.91 eV/f.u.
# SG: No. 122
# DOS at the Fermi energy: 9.31 states/eV per cell
data_NaBRu2
_symmetry_space_group_name_H-M 'P 1'
_symmetry_Int_Tables_number 1
_symmetry_space_group_name_Hall 'P 1'
_cell_length_a 4.644
_cell_length_b 4.644
_cell_length_c 7.789
_cell_angle_alpha 72.65
_cell_angle_beta 72.65
_cell_angle_gamma 90.00
loop_
_atom_site_label
_atom_site_fract_x
_atom_site_fract_y
_atom_site_fract_z
Ru1 0.432 0.125 0.250
Ru2 0.318 0.625 0.250
Ru3 0.375 0.568 0.750
Ru4 0.875 0.682 0.750
B1 0.500 0.500 0.000
B2 0.250 0.750 0.500
Na1 0.000 0.000 0.000
Na2 0.750 0.250 0.500

---

Record 10
# PBE-GGA NaBRu3, relaxed
# DFT formation energy: 15.61 eV/f.u.
# SG: No. 221
# DOS at the Fermi energy: 5.10 states/eV per cell
data_NaBRu3
_symmetry_space_group_name_H-M 'P 1'
_symmetry_Int_Tables_number 1
_symmetry_space_group_name_Hall 'P 1'
_cell_length_a 4.492
_cell_length_b 4.492
_cell_length_c 4.492
_cell_angle_alpha 90.00
_cell_angle_beta 90.00
_cell_angle_gamma 90.00
loop_
_atom_site_label
_atom_site_fract_x
_atom_site_fract_y
_atom_site_fract_z
Ru1 0.000 0.500 0.000
Ru2 0.000 0.000 0.500
Ru3 0.500 0.000 0.000
B1 0.500 0.500 0.500
Na1 0.000 0.000 0.000

---

Record 11
# PBE-GGA Na2SiBRu, relaxed
# SG: No. 123
# DOS at the Fermi energy: 5.44 states/eV per cell
# raw formation energy: 1.439 eV per atom
data_Na2SiBRu
_symmetry_space_group_name_H-M 'P 1'
_symmetry_Int_Tables_number 1
_symmetry_space_group_name_Hall 'P 1'
_cell_length_a 5.354
_cell_length_b 4.438
_cell_length_c 5.354
_cell_angle_alpha 90.00
_cell_angle_beta 90.00
_cell_angle_gamma 90.00
loop_
_atom_site_label
_atom_site_fract_x
_atom_site_fract_y
_atom_site_fract_z
Ru1 0.000 0.500 0.000
Si1 0.000 0.000 0.000
B1 0.500 0.500 0.500
Na1 0.000 0.000 0.500
Na2 0.500 0.000 0.000

---

Record 12
# PBE-GGA NaSrB2Ru, relaxed
# DFT formation energy: 12.30 eV/f.u.
# SG: No. 123
# DOS at the Fermi energy: 5.14 states/eV per cell
data_NaSrB2Ru
_symmetry_space_group_name_H-M 'P 1'
_symmetry_Int_Tables_number 1
_symmetry_space_group_name_Hall 'P 1'
_cell_length_a 5.126
_cell_length_b 5.146
_cell_length_c 5.126
_cell_angle_alpha 90.00
_cell_angle_beta 90.00
_cell_angle_gamma 90.00
loop_
_atom_site_label
_atom_site_fract_x
_atom_site_fract_y
_atom_site_fract_z
Ru1 0.000 0.500 0.000
B1 0.000 0.000 0.500
B2 0.500 0.000 0.000
Na1 0.500 0.500 0.500
Sr1 0.000 0.000 0.000